Entry 1
Below is a relaxed structure of KIr2Os, with properties calculated at the PBE-GGA level.

a = 2.6759 Å, b = 5.1376 Å, c = 5.0056 Å
α = 90.00°, β = 90.00°, γ = 90.00°
Each line ends with the local moment (μB).
Positions (direct):
Ir1 0.0000 0.0000 0.0000  0.66
Ir2 0.5000 0.5000 0.0000  0.24
K1 0.5000 0.0000 0.5000  0.00
Os1 0.0000 0.5000 0.5000  0.84


Entry 2
Below is a relaxed structure of KIr2Os, with properties calculated at the PBE-GGA level.

a = 4.5525 Å, b = 4.5525 Å, c = 4.5525 Å
α = 60.00°, β = 60.00°, γ = 60.00°
Positions (direct):
Ir1 0.0000 0.0000 0.0000
Ir2 0.2500 0.2500 0.2500
K1 0.5000 0.5000 0.5000
Os1 0.7500 0.7500 0.7500


Which of the structures shown above is the most stable? The most stable is entry 1.